This record from the Alexandria database describes a crystal of NiSI3 relaxed with PBEsol. The functional is meta-GGA SCAN.

Computed properties:
For the magnetic moment, the calculation gives 1.10 Bohr magnetons per cell. As for the crystal system: cubic. The calculation puts the raw formation energy at 0.922 eV per atom.

Cell: 5.3681 5.3681 5.3681 Å, 90.00 90.00 90.00°
Site moments in Bohr magnetons follow the coordinates.
Fractional coordinates of all 5 atoms:
1 I 0.0000 0.5000 0.0000  0.01
2 I 0.0000 0.0000 0.5000  0.01
3 I 0.5000 0.0000 0.0000  0.01
4 Ni 0.5000 0.5000 0.5000  1.03
5 S 0.0000 0.0000 0.0000  -0.01



This record from the Alexandria database describes a crystal of Y2MgSb relaxed with PBEsol. The functional is meta-GGA SCAN.

Computed properties:
For the magnetic moment, the calculation gives 0.00 Bohr magnetons per cell. As for the crystal system: tetragonal. The calculation puts the raw formation energy at -0.451 eV per atom. For the energy above the most stable polymorph in this dataset, the calculation gives 83 kJ/mol of formula units.

Cell: 4.1254 4.1254 6.3316 Å, 90.00 90.00 90.00°
Fractional coordinates of all 4 atoms:
1 Mg 0.0000 0.0000 0.4863
2 Sb 0.5000 0.5000 0.7692
3 Y 0.0000 0.0000 0.9734
4 Y 0.5000 0.5000 0.2711



This record from the Alexandria database describes a crystal of Ce2Sb3Pd9 relaxed with PBEsol. The functional is meta-GGA SCAN.

Computed properties:
For the magnetic moment, the calculation gives 3.19 Bohr magnetons per cell. As for the crystal system: orthorhombic. The calculation puts the raw formation energy at -0.748 eV per atom.

Cell: 7.9312 7.9312 9.2130 Å, 90.00 90.00 119.67°
Site moments in Bohr magnetons follow the coordinates.
Fractional coordinates of all 28 atoms:
1 Ce 0.0191 0.3264 0.2500  0.75
2 Ce 0.9809 0.6736 0.7500  0.75
3 Ce 0.3264 0.0191 0.2500  0.75
4 Ce 0.6736 0.9809 0.7500  0.75
5 Sb 0.0000 0.0000 0.5000  -0.01
6 Sb 0.3211 0.6789 0.0000  0.00
7 Sb 0.6789 0.3211 0.5000  0.00
8 Sb 0.6789 0.3211 0.0000  0.00
9 Sb 0.0000 0.0000 0.0000  -0.01
10 Sb 0.3211 0.6789 0.5000  0.00
11 Pd 0.3320 0.3320 0.0346  -0.01
12 Pd 0.6348 0.4401 0.2500  -0.02
13 Pd 0.3652 0.5599 0.7500  -0.02
14 Pd 0.4401 0.6348 0.2500  -0.02
15 Pd 0.3455 0.0026 0.9097  -0.01
16 Pd 0.6545 0.9974 0.4097  -0.01
17 Pd 0.0026 0.3455 0.5903  -0.01
18 Pd 0.9974 0.6545 0.0903  -0.01
19 Pd 0.6545 0.9974 0.0903  -0.01
20 Pd 0.3455 0.0026 0.5903  -0.01
21 Pd 0.9974 0.6545 0.4097  -0.01
22 Pd 0.8495 0.8495 0.2500  0.00
23 Pd 0.3320 0.3320 0.4654  -0.01
24 Pd 0.6680 0.6680 0.9654  -0.01
25 Pd 0.0026 0.3455 0.9097  -0.01
26 Pd 0.6680 0.6680 0.5346  -0.01
27 Pd 0.1505 0.1505 0.7500  0.00
28 Pd 0.5599 0.3652 0.7500  -0.02



This record from the Alexandria database describes a crystal of CdRhW2 relaxed with PBEsol. The functional is meta-GGA SCAN.

Computed properties:
For the magnetic moment, the calculation gives 0.00 Bohr magnetons per cell. The value obtained for the formation energy is 1.9 eV/f.u. As for the crystal system: orthorhombic.

Cell: 2.9690 4.7555 5.3897 Å, 116.18 105.99 90.00°
Fractional coordinates of all 4 atoms:
1 Cd 0.5064 0.5064 0.0127
2 Rh 0.2692 0.7692 0.5385
3 W 0.0007 0.0007 0.0014
4 W 0.7237 0.2237 0.4474